# 1
Below is a geometry-optimized BeAsAu structure, with properties calculated at the PBE level.

As for the energy: -3.845 eV/atom.

a = 4.227 Å, b = 4.227 Å, c = 5.664 Å
α = 92.19°, β = 92.19°, γ = 92.13°
Sites, in units of the cell vectors:
Be 0.168 0.832 0.500
Be 0.832 0.168 0.000
As 0.670 0.964 0.351
As 0.964 0.670 0.851
Au 0.309 0.451 0.188
Au 0.451 0.309 0.688

---

# 2
Below is a geometry-optimized LiTm2Zn structure, with properties calculated at the PBE level.

The value obtained for the polymorph energy (0 for the lowest one) is 149 meV per atom.

a = 10.111 Å, b = 10.111 Å, c = 10.111 Å
α = 19.57°, β = 19.57°, γ = 19.57°
Sites, in units of the cell vectors:
Li 0.000 0.000 0.000
Tm 0.241 0.241 0.241
Tm 0.759 0.759 0.759
Zn 0.500 0.500 0.500

---

# 3
Below is a geometry-optimized CaCd2W structure, with properties calculated at the PBE level.

The value obtained for the polymorph energy (0 for the lowest one) is 136 meV per atom.

a = 5.405 Å, b = 5.405 Å, c = 5.793 Å
α = 96.84°, β = 96.84°, γ = 30.85°
Sites, in units of the cell vectors:
Ca 0.000 0.000 0.000
Cd 0.240 0.240 0.723
Cd 0.760 0.760 0.277
W 0.500 0.500 0.500

---

# 4
Below is a geometry-optimized Rb2GeIBr5 structure, with properties calculated at the PBE level.

The uncorrected formation energy is -1.01 eV/atom.

a = 7.733 Å, b = 7.733 Å, c = 7.733 Å
α = 119.53°, β = 119.53°, γ = 90.81°
Sites, in units of the cell vectors:
Rb 0.000 0.500 0.500
Rb 0.500 0.000 0.500
Ge 0.246 0.246 0.000
I 0.500 0.500 0.000
Br 0.015 0.015 0.000
Br 0.017 0.017 0.540
Br 0.017 0.477 0.000
Br 0.477 0.017 0.000
Br 0.477 0.477 0.460

---

# 5
Below is a geometry-optimized LaPr6Cd structure, with properties calculated at the PBE level.

The value obtained for the polymorph energy (0 for the lowest one) is 54 meV per atom.

a = 6.572 Å, b = 6.572 Å, c = 6.572 Å
α = 96.62°, β = 96.62°, γ = 96.62°
Sites, in units of the cell vectors:
La 0.000 0.000 0.000
Pr 0.045 0.265 0.553
Pr 0.265 0.553 0.045
Pr 0.447 0.955 0.735
Pr 0.553 0.045 0.265
Pr 0.735 0.447 0.955
Pr 0.955 0.735 0.447
Cd 0.500 0.500 0.500

---

# 6
Below is a geometry-optimized Sr2LiEu structure, with properties calculated at the PBE level.

The value obtained for the polymorph energy (0 for the lowest one) is 44 meV per atom.

a = 6.317 Å, b = 6.317 Å, c = 4.445 Å
α = 90.00°, β = 90.00°, γ = 90.00°
Sites, in units of the cell vectors:
Sr 0.000 0.500 0.000
Sr 0.500 0.000 0.000
Li 0.000 0.000 0.500
Eu 0.500 0.500 0.500

---

# 7
Below is a geometry-optimized K2BeP structure, with properties calculated at the PBE level.

The value obtained for the polymorph energy (0 for the lowest one) is 157 meV per atom.

a = 6.250 Å, b = 6.250 Å, c = 6.250 Å
α = 144.72°, β = 127.47°, γ = 64.86°
Sites, in units of the cell vectors:
K 0.000 0.000 0.000
K 0.682 0.182 0.500
Be 0.364 0.364 0.000
P 0.285 0.785 0.500

---

# 8
Below is a geometry-optimized PmDy3F structure, with properties calculated at the PBE level.

The uncorrected formation energy is -0.93 eV/atom.

a = 5.064 Å, b = 5.064 Å, c = 5.064 Å
α = 90.00°, β = 90.00°, γ = 90.00°
Sites, in units of the cell vectors:
Pm 0.000 0.000 0.000
Dy 0.000 0.500 0.500
Dy 0.500 0.000 0.500
Dy 0.500 0.500 0.000
F 0.500 0.500 0.500

---

# 9
Below is a geometry-optimized TlV2WBr structure, with properties calculated at the PBE level.

The uncorrected formation energy is 1.37 eV/atom.

a = 4.495 Å, b = 4.495 Å, c = 4.696 Å
α = 90.00°, β = 90.00°, γ = 90.00°
Sites, in units of the cell vectors:
Tl 0.000 0.000 0.000
V 0.000 0.500 0.500
V 0.500 0.000 0.500
W 0.500 0.500 0.000
Br 0.500 0.500 0.500

---

# 10
Below is a geometry-optimized Cd2InAgHg structure, with properties calculated at the PBE level.

As for the energy: -1.372 eV/atom.

a = 5.354 Å, b = 5.354 Å, c = 5.322 Å
α = 90.00°, β = 90.00°, γ = 90.00°
Sites, in units of the cell vectors:
Cd 0.000 0.500 0.000
Cd 0.500 0.000 0.000
In 0.000 0.000 0.500
Ag 0.000 0.000 0.000
Hg 0.500 0.500 0.500

---

# 11
Below is a geometry-optimized Li3CaAg3 structure, with properties calculated at the PBE level.

The value obtained for the polymorph energy (0 for the lowest one) is 0 meV per atom.

a = 7.757 Å, b = 7.757 Å, c = 7.757 Å
α = 55.24°, β = 55.24°, γ = 55.24°
Sites, in units of the cell vectors:
Li 0.082 0.239 0.576
Li 0.239 0.576 0.082
Li 0.424 0.918 0.761
Li 0.576 0.082 0.239
Li 0.761 0.424 0.918
Li 0.918 0.761 0.424
Ca 0.153 0.153 0.153
Ca 0.847 0.847 0.847
Ag 0.199 0.450 0.659
Ag 0.341 0.801 0.550
Ag 0.450 0.659 0.199
Ag 0.550 0.341 0.801
Ag 0.659 0.199 0.450
Ag 0.801 0.550 0.341

---

# 12
Below is a geometry-optimized LaCeNd2Se4 structure, with properties calculated at the PBE level.

The uncorrected formation energy is -1.88 eV/atom.

a = 8.492 Å, b = 8.492 Å, c = 8.492 Å
α = 120.02°, β = 119.96°, γ = 90.02°
Sites, in units of the cell vectors:
La 0.000 0.000 0.000
La 0.500 0.000 0.500
Ce 0.500 0.000 0.000
Ce 0.500 0.500 0.500
Nd 0.000 0.000 0.500
Nd 0.000 0.500 0.000
Nd 0.000 0.500 0.500
Nd 0.500 0.500 0.000
Se 0.250 0.748 0.502
Se 0.251 0.254 0.503
Se 0.251 0.748 0.997
Se 0.253 0.252 0.002
Se 0.747 0.748 0.998
Se 0.749 0.252 0.003
Se 0.749 0.746 0.497
Se 0.750 0.252 0.498

---

# 13
Below is a geometry-optimized Tb6Si2HgTe3 structure, with properties calculated at the PBE level.

The uncorrected formation energy is -1.01 eV/atom.

a = 9.655 Å, b = 9.655 Å, c = 8.742 Å
α = 104.60°, β = 104.60°, γ = 25.39°
Sites, in units of the cell vectors:
Tb 0.009 0.009 0.256
Tb 0.326 0.326 0.435
Tb 0.331 0.331 0.892
Tb 0.669 0.669 0.108
Tb 0.674 0.674 0.565
Tb 0.991 0.991 0.744
Si 0.167 0.167 0.332
Si 0.833 0.833 0.668
Hg 0.500 0.500 0.000
Te 0.164 0.164 0.832
Te 0.500 0.500 0.500
Te 0.836 0.836 0.168

---

# 14
Below is a geometry-optimized LiBi3Pd4 structure, with properties calculated at the PBE level.

The value obtained for the polymorph energy (0 for the lowest one) is 33 meV per atom.

a = 7.375 Å, b = 7.375 Å, c = 7.375 Å
α = 132.07°, β = 61.32°, γ = 144.08°
Sites, in units of the cell vectors:
Li 0.000 0.000 0.000
Bi 0.000 0.500 0.500
Bi 0.303 0.497 0.806
Bi 0.691 0.497 0.194
Pd 0.314 0.997 0.317
Pd 0.500 0.266 0.766
Pd 0.500 0.734 0.234
Pd 0.679 0.997 0.683

---

# 15
Below is a geometry-optimized TaAs2HSe structure, with properties calculated at the PBE level.

The value obtained for the polymorph energy (0 for the lowest one) is 124 meV per atom.

a = 5.020 Å, b = 5.020 Å, c = 5.020 Å
α = 90.00°, β = 90.00°, γ = 90.00°
Sites, in units of the cell vectors:
Ta 0.000 0.000 0.000
As 0.000 0.500 0.000
As 0.500 0.000 0.000
H 0.500 0.500 0.500
Se 0.000 0.000 0.500

---

# 16
Below is a geometry-optimized Co3Ni2Rh structure, with properties calculated at the PBE level.

The value obtained for the polymorph energy (0 for the lowest one) is 0 meV per atom.

a = 8.455 Å, b = 8.101 Å, c = 4.371 Å
α = 79.22°, β = 70.26°, γ = 30.52°
Sites, in units of the cell vectors:
Co 0.125 0.125 0.125
Co 0.207 0.207 0.543
Co 0.457 0.457 0.793
Co 0.543 0.543 0.207
Co 0.793 0.793 0.457
Co 0.875 0.875 0.875
Ni 0.039 0.039 0.711
Ni 0.289 0.289 0.961
Ni 0.711 0.711 0.039
Ni 0.961 0.961 0.289
Rh 0.375 0.375 0.375
Rh 0.625 0.625 0.625

---

# 17
Below is a geometry-optimized YAg2W structure, with properties calculated at the PBE level.

The value obtained for the polymorph energy (0 for the lowest one) is 125 meV per atom.

a = 5.291 Å, b = 5.291 Å, c = 2.935 Å
α = 90.00°, β = 90.00°, γ = 111.09°
Sites, in units of the cell vectors:
Y 0.000 0.000 0.000
Ag 0.000 0.500 0.500
Ag 0.500 0.000 0.500
W 0.500 0.500 0.000

---

# 18
Below is a geometry-optimized Li2DySnS4 structure, with properties calculated at the PBE level.

The uncorrected formation energy is -1.28 eV/atom.

a = 6.737 Å, b = 6.737 Å, c = 6.737 Å
α = 132.62°, β = 132.62°, γ = 69.25°
Sites, in units of the cell vectors:
Li 0.000 0.000 0.000
Li 0.750 0.250 0.500
Dy 0.250 0.750 0.500
Sn 0.500 0.500 0.000
S 0.002 0.502 0.500
S 0.254 0.254 0.000
S 0.498 0.998 0.500
S 0.746 0.746 0.000

---

# 19
Below is a geometry-optimized Mg2IrCl structure, with properties calculated at the PBE level.

The value obtained for the polymorph energy (0 for the lowest one) is 431 meV per atom. The uncorrected formation energy is -0.31 eV/atom.

a = 3.557 Å, b = 3.557 Å, c = 7.050 Å
α = 90.00°, β = 90.00°, γ = 90.00°
Sites, in units of the cell vectors:
Mg 0.000 0.000 0.000
Mg 0.500 0.500 0.294
Ir 0.500 0.500 0.938
Cl 0.000 0.000 0.445

---

# 20
Below is a geometry-optimized LiZnF2 structure, with properties calculated at the PBE level.

The value obtained for the polymorph energy (0 for the lowest one) is 0 meV per atom. The uncorrected formation energy is -2.09 eV/atom.

a = 6.433 Å, b = 6.433 Å, c = 6.433 Å
α = 26.73°, β = 26.73°, γ = 26.73°
Sites, in units of the cell vectors:
Li 0.000 0.000 0.000
Zn 0.500 0.500 0.500
F 0.393 0.393 0.393
F 0.607 0.607 0.607